Record 1
# BaNi2As2 (PBE-GGA, optimized geometry)
data_BaNi2As2
_chemical_formula_sum 'Ba1 Ni2 As2'
_cell_length_a 4.169
_cell_length_b 4.169
_cell_length_c 6.471
_cell_angle_alpha 108.79
_cell_angle_beta 108.79
_cell_angle_gamma 90.00
_symmetry_space_group_name_H-M 'P 1'
_symmetry_Int_Tables_number 1
_symmetry_space_group_name_Hall 'P 1'
loop_
_atom_site_label
_atom_site_fract_x
_atom_site_fract_y
_atom_site_fract_z
As1 0.347 0.347 0.694
Ni1 0.250 0.750 0.500
Ba1 0.000 0.000 0.000
As2 0.653 0.653 0.306
Ni2 0.750 0.250 0.500
# * spin magnetization: 0.00 μB per formula unit
# * E: -0.189 hartree per atom


Record 2
# DyHoEr2Ga2 (PBE-GGA, optimized geometry)
data_DyHoEr2Ga2
_chemical_formula_sum 'Dy1 Ho1 Er2 Ga2'
_cell_length_a 5.132
_cell_length_b 5.132
_cell_length_c 6.547
_cell_angle_alpha 90.00
_cell_angle_beta 90.00
_cell_angle_gamma 120.00
_symmetry_space_group_name_H-M 'P 1'
_symmetry_Int_Tables_number 1
_symmetry_space_group_name_Hall 'P 1'
loop_
_atom_site_label
_atom_site_fract_x
_atom_site_fract_y
_atom_site_fract_z
Ga1 0.667 0.333 0.500
Er1 0.000 0.000 0.251
Dy1 0.667 0.333 0.000
Er2 0.000 0.000 0.749
Ga2 0.333 0.667 0.000
Ho1 0.333 0.667 0.500
# * spin magnetization: 0.06 μB per formula unit
# * E: -0.164 hartree per atom


Record 3
# Sm2GdAs3 (PBE-GGA, optimized geometry)
data_Sm2GdAs3
_chemical_formula_sum 'Sm2 Gd1 As3'
_cell_length_a 4.194
_cell_length_b 4.194
_cell_length_c 10.266
_cell_angle_alpha 90.00
_cell_angle_beta 90.00
_cell_angle_gamma 120.00
_symmetry_space_group_name_H-M 'P 1'
_symmetry_Int_Tables_number 1
_symmetry_space_group_name_Hall 'P 1'
loop_
_atom_site_label
_atom_site_fract_x
_atom_site_fract_y
_atom_site_fract_z
Sm1 0.333 0.667 0.832
As1 0.000 0.000 0.000
Gd1 0.000 0.000 0.500
As2 0.333 0.667 0.336
Sm2 0.667 0.333 0.168
As3 0.667 0.333 0.664
# * spin magnetization: 0.00 μB per formula unit
# * E: -0.228 hartree per atom


Record 4
# ZrPaAs (PBE-GGA, optimized geometry)
data_ZrPaAs
_chemical_formula_sum 'Zr1 Pa1 As1'
_cell_length_a 4.790
_cell_length_b 4.790
_cell_length_c 4.790
_cell_angle_alpha 60.00
_cell_angle_beta 60.00
_cell_angle_gamma 60.00
_symmetry_space_group_name_H-M 'P 1'
_symmetry_Int_Tables_number 1
_symmetry_space_group_name_Hall 'P 1'
loop_
_atom_site_label
_atom_site_fract_x
_atom_site_fract_y
_atom_site_fract_z
As1 0.250 0.250 0.250
Zr1 0.750 0.750 0.750
Pa1 0.000 0.000 0.000
# * spin magnetization: 1.84 μB per formula unit
# * E: -0.255 hartree per atom


Record 5
# RbSn2Au2 (PBE-GGA, optimized geometry)
data_RbSn2Au2
_chemical_formula_sum 'Rb1 Sn2 Au2'
_cell_length_a 6.811
_cell_length_b 6.811
_cell_length_c 6.811
_cell_angle_alpha 138.24
_cell_angle_beta 138.24
_cell_angle_gamma 60.54
_symmetry_space_group_name_H-M 'P 1'
_symmetry_Int_Tables_number 1
_symmetry_space_group_name_Hall 'P 1'
loop_
_atom_site_label
_atom_site_fract_x
_atom_site_fract_y
_atom_site_fract_z
Sn1 0.750 0.250 0.500
Sn2 0.250 0.750 0.500
Au1 0.378 0.378 0.000
Au2 0.622 0.622 0.000
Rb1 0.000 0.000 0.000
# * E: -0.123 hartree per atom
# * ΔE to the lowest computed polymorph: 22 meV/atom


Record 6
# PrInCo (PBE-GGA, optimized geometry)
data_PrInCo
_chemical_formula_sum 'Pr1 In1 Co1'
_cell_length_a 4.673
_cell_length_b 4.673
_cell_length_c 4.673
_cell_angle_alpha 60.00
_cell_angle_beta 60.00
_cell_angle_gamma 60.00
_symmetry_space_group_name_H-M 'P 1'
_symmetry_Int_Tables_number 1
_symmetry_space_group_name_Hall 'P 1'
loop_
_atom_site_label
_atom_site_fract_x
_atom_site_fract_y
_atom_site_fract_z
Pr1 0.750 0.750 0.750
Co1 0.000 0.000 0.000
In1 0.250 0.250 0.250
# * spin magnetization: 0.15 μB per formula unit
# * E: -0.182 hartree per atom


Record 7
# GdHoIr (PBE-GGA, optimized geometry)
data_GdHoIr
_chemical_formula_sum 'Gd1 Ho1 Ir1'
_cell_length_a 4.804
_cell_length_b 4.804
_cell_length_c 4.804
_cell_angle_alpha 60.00
_cell_angle_beta 60.00
_cell_angle_gamma 60.00
_symmetry_space_group_name_H-M 'P 1'
_symmetry_Int_Tables_number 1
_symmetry_space_group_name_Hall 'P 1'
loop_
_atom_site_label
_atom_site_fract_x
_atom_site_fract_y
_atom_site_fract_z
Ir1 0.250 0.250 0.250
Ho1 0.500 0.500 0.500
Gd1 0.000 0.000 0.000
# * spin magnetization: 0.00 μB per formula unit
# * E: -0.247 hartree per atom
# * energy of formation: -689 meV per atom
# * ΔE to the lowest computed polymorph: 0 meV/atom


Q: Which value of E does entry 3 give?
A: -0.228 hartree per atom